VASP calculation (PBE) on a geometry-optimized Nd3ScSn12 structure.

a = 4.7614 Å, b = 4.7614 Å, c = 18.7466 Å
α = 90.00°, β = 90.00°, γ = 90.00°
Last column: nearest neighbours and their distance in Å.
Space group P4/mmm (No. 123)
Symmetry-distinct sites (fractional):
Nd: 0.0000 0.0000 0.0000  12 Sn 3.37-3.38
Nd: 0.0000 0.0000 0.2541  12 Sn 3.36-3.40
Sc: 0.0000 0.0000 0.5000  12 Sn 3.23-3.37
Sn: 0.0000 0.5000 0.1277  4 Nd 3.36-3.38, 8 Sn 3.37-3.38
Sn: 0.0000 0.5000 0.3834  8 Sn 3.23-3.37, 2 Sc 3.23, 2 Nd 3.40
Sn: 0.5000 0.5000 0.0000  4 Nd 3.37, 8 Sn 3.38
Sn: 0.5000 0.5000 0.2559  4 Nd 3.37, 8 Sn 3.37-3.38
Sn: 0.5000 0.5000 0.5000  8 Sn 3.23, 4 Sc 3.37

Calculated values
As for the crystal system: tetragonal. The value obtained for the volume is 26.56 Å³/atom. The calculation puts the raw total energy at -0.17407 Ha/atom. The value obtained for the energy of formation is -0.44 eV/atom.



VASP calculation (PBE) on a geometry-optimized Nd5Sc4Sn4 structure.

a = 12.9450 Å, b = 12.9450 Å, c = 4.4755 Å
α = 90.00°, β = 90.00°, γ = 90.00°
Last column: nearest neighbours and their distance in Å.
Space group I4/m (No. 87)
Symmetry-distinct sites (fractional):
Nd: 0.0000 0.0000 0.0000  4 Sn 3.31
Nd: 0.1262 0.7941 0.5000  5 Sn 3.27-3.39, 2 Sc 3.55
Sc: 0.0836 0.4053 0.5000  3 Sn 3.03-3.04, 5 Sc 3.22-3.27
Sn: 0.0668 0.2468 0.0000  3 Sc 3.03-3.04, 6 Nd 3.27-3.39

Calculated values
As for the crystal system: tetragonal. The value obtained for the volume is 28.85 Å³/atom. The calculation puts the raw total energy at -0.20466 Ha/atom. The value obtained for the energy of formation is -0.56 eV/atom.